Material: AgMoPt2
Method: DFT, GGA-PBEsol
State: relaxed

abc: 2.781 2.781 7.898
angles: 90.00 90.00 90.00
Fractional positions:
Ag: 0.000 0.000 0.000
Mo: 0.000 0.000 0.500
Pt: 0.500 0.500 0.265
Pt: 0.500 0.500 0.735

Computed properties:
Crystal system: tetragonal
DFT formation energy, meV per atom: -245
V, Å³/atom: 15.3
Magnetic moment, Bohr magnetons per cell: 0.00